(1)
# Ac6Ge2PBr3

An optimized crystal structure of Ac6Ge2PBr3 (PBE, Alexandria).

Unit cell a=20.064 b=4.552 c=9.207 alpha=90.00 beta=104.39 gamma=90.00
Space group C2/m (No. 12)
Symmetry-distinct sites (fractional):
Ac  0.005  0.000  0.223 x4
Ac  0.155  0.500  0.095 x4
Ac  0.174  0.500  0.565 x4
Ge  0.166  0.000  0.331 x4
P  0.000  0.500  0.000 x2
Br  0.000  0.500  0.500 x2
Br  0.170  0.000  0.836 x4

E_form (uncorrected), meV/atom: -1246

(2)
# Cs5TbO4

An optimized crystal structure of Cs5TbO4 (PBE, Alexandria).

Unit cell a=8.558 b=10.014 c=7.019 alpha=90.00 beta=90.00 gamma=90.00
Space group Pmmn (No. 59, origin choice 2)
Symmetry-distinct sites (fractional):
Cs  0.011  0.064  0.244 x8
Cs  0.250  0.750  0.324 x2
Tb  0.250  0.250  0.719 x2
O  0.033  0.250  0.885 x4
O  0.250  0.065  0.548 x4

E_form (uncorrected), meV/atom: -1624

(3)
# SmTlPt10

An optimized crystal structure of SmTlPt10 (PBE, Alexandria).

Unit cell a=4.427 b=5.436 c=9.320 alpha=90.00 beta=90.00 gamma=90.00
Space group Pmmm (No. 47)
Symmetry-distinct sites (fractional):
Sm  0.000  0.000  0.000 x1
Tl  0.000  0.500  0.500 x1
Pt  0.000  0.000  0.336 x2
Pt  0.000  0.500  0.171 x2
Pt  0.500  0.000  0.500 x1
Pt  0.500  0.246  0.244 x4
Pt  0.500  0.500  0.000 x1

Formation energy from the elements, eV per atom: -0.356

(4)
# PrHoCu4

An optimized crystal structure of PrHoCu4 (PBE, Alexandria).

Unit cell a=4.319 b=7.005 c=7.425 alpha=90.00 beta=90.00 gamma=90.00
Space group Imm2 (No. 44)
Symmetry-distinct sites (fractional):
Pr  0.000  0.000  0.000 x2
Ho  0.000  0.500  0.919 x2
Cu  0.000  0.195  0.620 x4
Cu  0.000  0.296  0.291 x4

Formation energy from the elements, eV per atom: -0.229

(5)
# Ti3AlCo2

An optimized crystal structure of Ti3AlCo2 (PBE, Alexandria).

Unit cell a=5.657 b=11.503 c=5.908 alpha=90.00 beta=90.00 gamma=90.00
Space group Ibam (No. 72)
Symmetry-distinct sites (fractional):
Ti  0.000  0.000  0.250 x4
Ti  0.000  0.274  0.250 x8
Al  0.000  0.500  0.000 x4
Co  0.202  0.140  0.000 x8

Formation energy from the elements, eV per atom: -0.126

(6)
# In2GeRhPb

An optimized crystal structure of In2GeRhPb (PBE, Alexandria).

Unit cell a=5.251 b=5.251 c=4.695 alpha=90.00 beta=90.00 gamma=90.00
Space group P4/mmm (No. 123)
Symmetry-distinct sites (fractional):
In  0.000  0.500  0.000 x2
Ge  0.000  0.000  0.500 x1
Rh  0.000  0.000  0.000 x1
Pb  0.500  0.500  0.500 x1

Formation energy from the elements, eV per atom: -0.001

(7)
# La2NiSe

An optimized crystal structure of La2NiSe (PBE, Alexandria).

Unit cell a=4.534 b=5.859 c=7.495 alpha=90.00 beta=90.00 gamma=90.00
Space group Immm (No. 71)
Symmetry-distinct sites (fractional):
La  0.000  0.000  0.236 x4
Ni  0.000  0.500  0.500 x2
Se  0.000  0.500  0.000 x2

E_form (uncorrected), meV/atom: -829

(8)
# Zn2Ga8Au

An optimized crystal structure of Zn2Ga8Au (PBE, Alexandria).

Unit cell a=10.790 b=8.266 c=4.936 alpha=90.00 beta=102.68 gamma=90.00
Space group C2/m (No. 12)
Symmetry-distinct sites (fractional):
Zn  0.128  0.000  0.052 x4
Ga  0.064  0.286  0.278 x8
Ga  0.126  0.500  0.799 x4
Ga  0.249  0.500  0.368 x4
Au  0.000  0.000  0.500 x2

Formation energy from the elements, eV per atom: 0.009

no.,VASP energy (eV/atom)
1,-4.939
2,-4.497
3,-5.981
4,-4.519
5,-7.066
6,-4.232
7,-5.609
8,-2.722